Here is an optimized crystal structure of TcMoO6 from Alexandria. Energies are from PBE with a Hubbard U.

As for the total energy: -174.66 eV per cell. The crystal system is trigonal. The density of states at the Fermi level comes out at 9.81 states/eV per cell.

a b c (Å): 5.3985 5.3985 13.2324
angles (deg): 90.00 90.00 120.00
Closest atoms and distances in Å follow each position.
Space group R-3 (No. 148, hexagonal axes)
Unique sites:
Tc: 0.0000 0.0000 0.0000  6 O 1.89
Mo: 0.0000 0.0000 0.5000  6 O 1.93
O: 0.0032 0.4980 0.7493  1 Tc 1.89, 1 Mo 1.93